The following is a DFT calculation (PBE-GGA) of a relaxed Na3Pa2TiN6 crystal.

## Properties
Fermi-level density of states   10.09 states/eV/f.u.
Symmetry   C2/m (12)
Size of the total moment   0.009 Bohr magnetons per cell
Uncorrected energy   -7.742 eV per atom

Cell lengths 5.8894, 5.8894, 6.0165 Å; angles 99.12, 99.12, 120.16 degrees
With the nearest neighbours (Å) after each atom.
Element x y z (fractional)
1 Pa 0.3332 0.6668 0.0000  6 N 2.27-2.28
2 Pa 0.6668 0.3332 0.0000  6 N 2.27-2.28
3 N 0.6209 0.9383 0.8125  1 Ti 2.16, 2 Pa 2.27-2.28
4 N 0.3791 0.0617 0.1875  1 Ti 2.16, 2 Pa 2.27-2.28
5 N 0.7427 0.7427 0.1864  1 Ti 2.15, 2 Pa 2.27
6 N 0.9383 0.6209 0.8125  1 Ti 2.16, 2 Pa 2.27-2.28
7 N 0.0617 0.3791 0.1875  1 Ti 2.16, 2 Pa 2.27-2.28
8 N 0.2573 0.2573 0.8136  1 Ti 2.15, 2 Pa 2.27
9 Ti 0.0000 0.0000 0.0000  6 N 2.15-2.16
10 Na 0.1559 0.8441 0.5000  6 N 2.56-2.80
11 Na 0.5000 0.5000 0.5000  6 N 2.63-2.70
12 Na 0.8441 0.1559 0.5000  6 N 2.56-2.80